Density functional theory data (GGA-PBE) for Er12Tl5Ni2 after structural relaxation.

Cell: 9.1334 9.1334 9.6179 Å, 103.01 103.01 47.84°
Last column: nearest neighbours and their distance in Å.
Sites, in units of the cell vectors:
Er  0.0040  0.0040  0.2506  2 Ni 2.77
Er  0.0850  0.5977  0.9090  1 Ni 2.61
Er  0.1009  0.5977  0.4239  4 Tl 3.03-3.10
Er  0.4023  0.8991  0.5761  4 Tl 3.03-3.10
Er  0.4023  0.9150  0.0910  1 Ni 2.61
Er  0.4861  0.4861  0.1672  2 Ni 2.86, 1 Tl 3.15
Er  0.5139  0.5139  0.8328  2 Ni 2.86, 1 Tl 3.15
Er  0.5977  0.0850  0.9090  1 Ni 2.61
Er  0.5977  0.1009  0.4239  4 Tl 3.03-3.10
Er  0.8991  0.4023  0.5761  4 Tl 3.03-3.10
Er  0.9150  0.4023  0.0910  1 Ni 2.61
Er  0.9960  0.9960  0.7494  2 Ni 2.77
Tl  0.1883  0.1883  0.8416  7 Er 3.10-3.14
Tl  0.1968  0.1968  0.3594  7 Er 3.03-3.13
Tl  0.5000  0.5000  0.5000  6 Er 3.06-3.15
Tl  0.8032  0.8032  0.6406  7 Er 3.03-3.13
Tl  0.8117  0.8117  0.1584  7 Er 3.10-3.14
Ni  0.1876  0.8124  0.0000  6 Er 2.61-2.86, 1 Ni 2.78
Ni  0.8124  0.1876  0.0000  6 Er 2.61-2.86, 1 Ni 2.78

Values from the calculation:
Energy of formation from the pure elements   -0.097 eV/atom
Crystal system   monoclinic
Energy   -0.3094 Ry per atom